1.
The following is a DFT calculation (PBE-GGA) of crystalline InAg at its relaxed geometry.

```
4
Lattice="-1.746 0.254 2.702 0.121 -3.203 0.379 7.051 0.796 4.479" Properties=species:S:1:pos:R:3 pbc="T T T"
Ag 5.069 -1.502 6.306
In 4.191 -0.218 3.691
In 1.235 -1.934 3.870
Ag 0.357 -0.651 1.255
```



2.
The following is a DFT calculation (PBE-GGA) of crystalline InAg at its relaxed geometry.

```
8
Lattice="5.597 0.000 0.000 0.000 5.597 0.000 0.000 0.000 6.080" Properties=species:S:1:pos:R:3 pbc="T T T"
Ag 4.546 4.546 3.040
Ag 3.849 1.748 0.000
In 1.077 1.077 0.000
In 1.721 3.875 3.040
Ag 1.051 1.051 3.040
In 3.875 1.721 3.040
In 4.520 4.520 0.000
Ag 1.748 3.849 0.000
```



Going through the records in order, we get DOS(E_F) values of 0.4, 0.9 states/eV/f.u..
Going through the records in order, we get VASP energy values of -2.763, -2.675 eV per atom.
Going through the records in order, we get DFT formation energy values of 32, 120 meV per atom.